Record 1
Computed, not measured: LaAg2Os at its PBEsol-relaxed geometry at the meta-GGA SCAN level of DFT.

Geometry as extended XYZ:
```
4
Lattice="2.944 0.000 0.000 0.000 5.018 0.000 -1.223 0.000 5.173" Properties=species:S:1:pos:R:3 pbc="T T T"
La 0.000 0.000 0.000
Ag 0.114 2.509 3.746
Ag 1.607 2.509 1.427
Os 0.860 0.000 2.587
```

SG = No. 10
Formation energy = 1.2 eV/f.u.
Magnetization = 0.00 μB per atom
Polymorph energy (0 for the lowest one) = 0 meV per atom

---

Record 2
Computed, not measured: BaCaSe2 at its PBEsol-relaxed geometry at the meta-GGA SCAN level of DFT.

Geometry as extended XYZ:
```
8
Lattice="5.073 0.000 0.000 0.000 5.660 0.000 0.000 0.000 7.619" Properties=species:S:1:pos:R:3 pbc="T T T"
Ba 0.000 0.000 0.000
Ba 2.536 2.830 3.809
Ca 0.000 0.000 3.809
Ca 2.536 2.830 0.000
Se 0.000 2.830 1.816
Se 0.000 2.830 5.803
Se 2.536 0.000 1.993
Se 2.536 0.000 5.625
```

SG = No. 71
Magnetization = 0.00 μB per atom
Formation energy without anion corrections = -1.953 eV/atom
Polymorph energy (0 for the lowest one) = 301 meV per atom

---

Record 3
Computed, not measured: LiZrIn4 at its PBEsol-relaxed geometry at the meta-GGA SCAN level of DFT.

Geometry as extended XYZ:
```
6
Lattice="0.000 4.096 4.096 4.096 0.000 4.096 4.096 4.096 0.000" Properties=species:S:1:pos:R:3 pbc="T T T"
Li 0.000 0.000 0.000
Zr 2.048 2.048 2.048
In 5.119 3.073 3.073
In 3.073 5.119 3.073
In 3.073 3.073 5.119
In 5.119 5.119 5.119
```

SG = No. 216
Formation energy = -0.1 eV/f.u.
Magnetization = 0.14 μB per atom